The following is a PBE-GGA calculation of a relaxed structure of LiLaErPb, from Alexandria.

a = 7.6647 Å, b = 7.6647 Å, c = 7.6647 Å
α = 90.00°, β = 90.00°, γ = 90.00°
With the nearest neighbours (Å) after each atom.
Space group F-43m (No. 216)
Unique sites:
1 Li 0.0000 0.0000 0.0000 x4  4 La 3.32, 4 Er 3.32
2 La 0.2500 0.2500 0.2500 x4  4 Pb 3.32, 4 Li 3.32
3 Er 0.2500 0.2500 0.7500 x4  4 Pb 3.32, 4 Li 3.32
4 Pb 0.0000 0.0000 0.5000 x4  4 La 3.32, 4 Er 3.32

Values from the calculation:
The magnetization comes out at 0.00 Bohr magnetons per cell. The energy of formation from the pure elements comes out at -1.15 eV per formula unit.


The following is a PBE-GGA calculation of a relaxed structure of Ba2CePdSe5, from Alexandria.

a = 4.4112 Å, b = 18.9864 Å, c = 13.1040 Å
α = 90.00°, β = 90.00°, γ = 90.00°
With the nearest neighbours (Å) after each atom.
Space group Cmc2_1 (No. 36)
Unique sites:
1 Ba 0.0000 0.1155 0.0000 x4  8 Se 3.27-3.56
2 Ba 0.0000 0.1245 0.3605 x4  7 Se 3.28-3.54
3 Ce 0.0000 0.1977 0.6780 x4  6 Se 2.82-2.98
4 Pd 0.0000 0.4264 0.0800 x4  4 Se 2.44-2.60
5 Se 0.0000 0.0425 0.6461 x4  2 Pd 2.44
6 Se 0.0000 0.2936 0.0325 x4  1 Pd 2.60
7 Se 0.0000 0.3091 0.3215 x4  2 Ce 2.90
8 Se 0.0000 0.3461 0.6804 x4  1 Ce 2.82
9 Se 0.0000 0.4998 0.4217 x4  1 Pd 2.50

Values from the calculation:
The magnetization comes out at 0.32 Bohr magnetons per cell.


The following is a PBE-GGA calculation of a relaxed structure of LaZnGa3, from Alexandria.

a = 5.7577 Å, b = 6.0745 Å, c = 5.7937 Å
α = 90.00°, β = 91.07°, γ = 90.00°
With the nearest neighbours (Å) after each atom.
Space group P2_1/m (No. 11)
Unique sites:
1 La 0.1597 0.2500 0.1707 x2  10 Ga 3.07-3.41, 4 Zn 3.07-3.33
2 Zn 0.3584 0.7500 0.0466 x2  3 Ga 2.50-2.68
3 Ga 0.0538 0.7500 0.3485 x2  1 Zn 2.50, 2 Ga 2.73
4 Ga 0.3414 0.0002 0.6657 x4  3 Ga 2.67-2.88, 2 Zn 2.68-2.82

Values from the calculation:
The magnetization comes out at 0.00 Bohr magnetons per cell. The energy of formation from the pure elements comes out at -2.24 eV per formula unit.


The following is a PBE-GGA calculation of a relaxed structure of Li3PrIn, from Alexandria.

a = 5.0868 Å, b = 6.5533 Å, c = 7.1635 Å
α = 90.00°, β = 110.57°, γ = 90.00°
With the nearest neighbours (Å) after each atom.
Space group P2_1/m (No. 11)
Unique sites:
1 Li 0.0289 0.2500 0.0585 x2  2 Li 2.57
2 Li 0.1793 0.0077 0.3603 x4  1 Li 2.57, 1 In 2.80
3 Pr 0.4014 0.2500 0.8021 x2  8 Li 3.07-3.36, 3 In 3.36-3.39
4 In 0.3470 0.7500 0.6925 x2  8 Li 2.80-3.05

Values from the calculation:
The magnetization comes out at 0.00 Bohr magnetons per cell. The energy of formation from the pure elements comes out at -0.76 eV per formula unit.


The following is a PBE-GGA calculation of a relaxed structure of FeSb2MoI, from Alexandria.

a = 4.8297 Å, b = 4.8297 Å, c = 5.5998 Å
α = 90.00°, β = 90.00°, γ = 90.00°
With the nearest neighbours (Å) after each atom.
Space group P4/mmm (No. 123)
Unique sites:
1 Fe 0.0000 0.0000 0.0000 x1  4 Sb 2.41
2 Sb 0.0000 0.5000 0.0000 x2  2 Fe 2.41
3 Mo 0.5000 0.5000 0.5000 x1  4 I 3.42, 8 Sb 3.70
4 I 0.0000 0.0000 0.5000 x1  2 Fe 2.80

Values from the calculation:
The magnetization comes out at 4.82 Bohr magnetons per cell.


The following is a PBE-GGA calculation of a relaxed structure of NbAlPd3, from Alexandria.

a = 4.5005 Å, b = 4.5005 Å, c = 4.5005 Å
α = 90.00°, β = 90.00°, γ = 90.00°
With the nearest neighbours (Å) after each atom.
Space group Pm-3m (No. 221)
Unique sites:
1 Nb 0.0000 0.0000 0.0000 x1  12 Pd 3.18
2 Al 0.5000 0.5000 0.5000 x1  6 Pd 2.25
3 Pd 0.0000 0.5000 0.5000 x3  2 Al 2.25

Values from the calculation:
The magnetization comes out at 0.00 Bohr magnetons per cell. The energy of formation from the pure elements comes out at 1.95 eV per formula unit.


The following is a PBE-GGA calculation of a relaxed structure of BaIr2Br, from Alexandria.

a = 4.1595 Å, b = 6.0773 Å, c = 8.8391 Å
α = 90.00°, β = 90.00°, γ = 90.00°
With the nearest neighbours (Å) after each atom.
Space group Imm2 (No. 44)
Unique sites:
1 Ba 0.0000 0.0000 0.0000 x2  4 Br 3.38-3.51, 8 Ir 3.40-3.71
2 Ir 0.0000 0.0000 0.5518 x2  2 Ir 2.33
3 Ir 0.0000 0.5000 0.1716 x2  2 Ir 2.33
4 Br 0.0000 0.5000 0.8008 x2  3 Ir 3.04-3.28, 2 Ba 3.38

Values from the calculation:
The magnetization comes out at 0.00 Bohr magnetons per cell.


The following is a PBE-GGA calculation of a relaxed structure of AcPmHg2, from Alexandria.

a = 7.8744 Å, b = 7.8744 Å, c = 7.8744 Å
α = 90.00°, β = 90.00°, γ = 90.00°
With the nearest neighbours (Å) after each atom.
Space group Fm-3m (No. 225)
Unique sites:
1 Ac 0.0000 0.0000 0.0000 x4  8 Hg 3.41
2 Pm 0.0000 0.0000 0.5000 x4  8 Hg 3.41
3 Hg 0.2500 0.2500 0.2500 x8  4 Ac 3.41, 4 Pm 3.41

Values from the calculation:
The magnetization comes out at 3.00 Bohr magnetons per cell. The energy of formation from the pure elements comes out at -1.80 eV per formula unit.


Number 1: total DFT energy (no corrections) -65.04 eV for the cell shown. Number 2: total DFT energy (no corrections) -182.63 eV for the cell shown. Number 3: total DFT energy (no corrections) -35.05 eV for the cell shown. Number 4: total DFT energy (no corrections) -28.04 eV for the cell shown. Number 5: total DFT energy (no corrections) -23.74 eV for the cell shown. Number 6: total DFT energy (no corrections) -27.44 eV for the cell shown. Number 7: total DFT energy (no corrections) -42.10 eV for the cell shown. Number 8: total DFT energy (no corrections) -45.06 eV for the cell shown.